Material: Na3RuRh3O8
Method: DFT, PBE
State: relaxed

a b c (Å): 6.2741 6.2743 6.4322
angles (deg): 119.20 90.00 120.00
Positions (direct):
Na1 0.0000 0.5000 0.0000
Na2 0.5000 0.5000 0.0000
Na3 0.0000 0.0000 0.0000
Rh1 0.0000 0.5000 0.5000
Rh2 0.5000 0.0000 0.5000
Rh3 0.5000 0.5000 0.5000
O1 0.7738 0.0365 0.3103
O2 0.7324 0.4647 0.6971
O3 0.2262 0.9635 0.6897
O4 0.7373 0.9635 0.6897
O5 0.2676 0.5353 0.3029
O6 0.7738 0.5475 0.3103
O7 0.2262 0.4525 0.6897
O8 0.2627 0.0365 0.3103
Ru1 0.0000 0.0000 0.5000

Computed properties:
For the theoretical density, the calculation gives 5.6 g/cm3. Its volume is 12.1 Å³ per atom. The calculation puts the raw total energy at -6.0499 eV/atom. The value obtained for the energy relative to the elements, uncorrected is -1.0531 eV per atom.

---

Material: OsWCl2
Method: DFT, PBE
State: relaxed

a b c (Å): 4.8704 4.8704 2.8374
angles (deg): 90.00 90.00 109.96
Positions (direct):
Os1 0.5000 0.0000 0.5000
Cl1 0.5000 0.5000 0.0000
Cl2 0.0000 0.0000 0.0000
W1 0.0000 0.5000 0.5000

Computed properties:
For the theoretical density, the calculation gives 11.7 g/cm3. Its volume is 15.8 Å³ per atom. The calculation puts the raw total energy at -5.3211 eV/atom. The calculation puts the offset from the most stable computed form at 1770 meV/atom. The value obtained for the energy relative to the elements, uncorrected is 1.6479 eV per atom.

---

Material: Sc12Al3Ga
Method: DFT, PBE
State: relaxed

a b c (Å): 4.4140 4.4140 17.6675
angles (deg): 90.00 90.00 90.00
Positions (direct):
Sc1 0.0000 0.5000 0.3745
Sc2 0.5000 0.0000 0.3745
Sc3 0.0000 0.5000 0.8763
Sc4 0.5000 0.0000 0.8763
Sc5 0.5000 0.5000 0.7511
Sc6 0.5000 0.5000 0.5000
Sc7 0.5000 0.0000 0.1237
Sc8 0.5000 0.5000 0.2489
Sc9 0.5000 0.5000 0.0000
Sc10 0.0000 0.5000 0.1237
Sc11 0.0000 0.5000 0.6255
Sc12 0.5000 0.0000 0.6255
Al1 0.0000 0.0000 0.5000
Al2 0.0000 0.0000 0.2491
Al3 0.0000 0.0000 0.7509
Ga1 0.0000 0.0000 0.0000

Computed properties:
For the theoretical density, the calculation gives 3.3 g/cm3. Its volume is 21.5 Å³ per atom. The calculation puts the raw total energy at -5.9052 eV/atom. The formation energy comes out at -0.266 eV/atom.

---

Please write out number 3 again, unchanged.
Material: Sc12Al3Ga
Method: DFT, PBE
State: relaxed

a b c (Å): 4.4140 4.4140 17.6675
angles (deg): 90.00 90.00 90.00
Positions (direct):
Sc1 0.0000 0.5000 0.3745
Sc2 0.5000 0.0000 0.3745
Sc3 0.0000 0.5000 0.8763
Sc4 0.5000 0.0000 0.8763
Sc5 0.5000 0.5000 0.7511
Sc6 0.5000 0.5000 0.5000
Sc7 0.5000 0.0000 0.1237
Sc8 0.5000 0.5000 0.2489
Sc9 0.5000 0.5000 0.0000
Sc10 0.0000 0.5000 0.1237
Sc11 0.0000 0.5000 0.6255
Sc12 0.5000 0.0000 0.6255
Al1 0.0000 0.0000 0.5000
Al2 0.0000 0.0000 0.2491
Al3 0.0000 0.0000 0.7509
Ga1 0.0000 0.0000 0.0000

Computed properties:
For the theoretical density, the calculation gives 3.3 g/cm3. Its volume is 21.5 Å³ per atom. The calculation puts the raw total energy at -5.9052 eV/atom. The formation energy comes out at -0.266 eV/atom.

---

> The lowest volume belongs to which entry?

Na3RuRh3O8

---

> Which of these has the lowest volume?

Na3RuRh3O8

---

> Which value of theoretical density does entry 2 give?

11.7 g/cm3